SrPmSb2Pd5 | PBE-GGA | relaxed

Cell and atoms, written as POSCAR:
```
SrPmSb2Pd5
1.0
4.7240 0.0000 0.0000
0.0000 4.7240 0.0000
0.0000 0.0000 8.7282
Sb Sr Pd Pm
2 1 5 1
Direct
0.5000 0.5000 0.1635
0.5000 0.5000 0.8365
0.0000 0.0000 0.5000
0.5000 0.0000 0.7196
0.0000 0.5000 0.7196
0.5000 0.5000 0.5000
0.5000 0.0000 0.2804
0.0000 0.5000 0.2804
0.0000 0.0000 0.0000
```

Summary:
E_form (uncorrected) = -14.41 kcal/mol of atoms
Raw total energy = -5.14 eV/atom

Tm8Ge3SbTe4 | PBE-GGA | relaxed

Cell and atoms, written as POSCAR:
```
Tm8Ge3SbTe4
1.0
8.4640 0.0000 0.0000
0.0000 8.5473 0.0525
-4.2320 -4.2282 5.9881
Tm Sb Te Ge
8 1 4 3
Direct
0.2471 0.7223 0.9752
0.2719 0.2777 0.0248
0.7281 0.7223 0.9752
0.2608 0.2824 0.5216
0.7529 0.2777 0.0248
0.7529 0.2778 0.5058
0.2471 0.7222 0.4942
0.7392 0.7176 0.4784
0.0000 0.5000 0.0000
0.5000 0.0000 0.5000
0.5000 0.0000 0.0000
0.0000 0.0000 0.5000
0.0000 0.0000 0.0000
0.5000 0.5000 0.5000
0.0000 0.5000 0.5000
0.5000 0.5000 0.0000
```

Summary:
E_form (uncorrected) = -26.74 kcal/mol of atoms
Raw total energy = -5.30 eV/atom